No. 1
Compound: TaReRu2
Source: Alexandria
Functional: PBE
Structure: optimized geometry

The energy of formation is -6.1 kJ per mole of atoms. For the electronic total energy, the calculation gives -43.1 eV per formula unit. The calculation puts the excess energy over the best structure of this formula in the dataset at 0.0471 eV per atom.

Cell: 9.2179 2.8151 4.7736 Å, 90.00 100.15 90.00°
Space group Cm (No. 8)
Asymmetric unit:
Ta: 0.0000 0.0000 0.0000 [2 per cell]
Re: 0.2371 0.0000 0.7083 [2 per cell]
Ru: 0.2552 0.5000 0.2323 [2 per cell]
Ru: 0.4954 0.0000 0.5023 [2 per cell]


No. 2
Compound: La2Si3Ir2
Source: Alexandria
Functional: PBE
Structure: optimized geometry

For the electronic total energy, the calculation gives -49.4 eV per formula unit. The raw formation energy is -790 meV per atom. The calculation puts the excess energy over the best structure of this formula in the dataset at 0.0000 eV per atom.

Cell: 11.1379 4.0459 7.1707 Å, 90.00 120.99 90.00°
Space group C2/m (No. 12)
Asymmetric unit:
La: 0.1372 0.0000 0.2612 [4 per cell]
Si: 0.0000 0.5000 0.5000 [2 per cell]
Si: 0.1476 0.5000 0.9306 [4 per cell]
Ir: 0.1332 0.0000 0.7184 [4 per cell]


No. 3
Compound: CaCr2GaSn
Source: Alexandria
Functional: PBE
Structure: optimized geometry

The energy of formation is 194.4 kJ per mole of atoms. For the electronic total energy, the calculation gives -18.2 eV per formula unit.

Cell: 4.5423 4.5423 5.1292 Å, 90.00 90.00 90.00°
Space group P4/mmm (No. 123)
Asymmetric unit:
Ca: 0.0000 0.0000 0.0000 [1 per cell]
Cr: 0.0000 0.5000 0.0000 [2 per cell]
Ga: 0.0000 0.0000 0.5000 [1 per cell]
Sn: 0.5000 0.5000 0.5000 [1 per cell]


No. 4
Compound: KAcVSe4
Source: Alexandria
Functional: PBE
Structure: optimized geometry

For the electronic total energy, the calculation gives -37.3 eV per formula unit. The raw formation energy is -1290 meV per atom.

Cell: 7.1439 6.9231 9.3043 Å, 90.00 107.27 90.00°
Space group P2_1/m (No. 11)
Asymmetric unit:
K: 0.2213 0.2500 0.4320 [2 per cell]
Ac: 0.2651 0.2500 0.9493 [2 per cell]
V: 0.2875 0.7500 0.1919 [2 per cell]
Se: 0.0874 0.7500 0.3489 [2 per cell]
Se: 0.1114 0.7500 0.9338 [2 per cell]
Se: 0.4911 0.5083 0.7671 [4 per cell]


No. 5
Compound: Tb3ZnPt3
Source: Alexandria
Functional: PBE
Structure: optimized geometry

The energy of formation is -105.8 kJ per mole of atoms. For the electronic total energy, the calculation gives -41.0 eV per formula unit.

Cell: 4.1732 10.3728 13.9754 Å, 90.00 90.00 90.00°
Space group Cmcm (No. 63)
Asymmetric unit:
Tb: 0.0000 0.0292 0.2500 [4 per cell]
Tb: 0.0000 0.3014 0.1061 [8 per cell]
Zn: 0.0000 0.0000 0.0000 [4 per cell]
Pt: 0.0000 0.2439 0.7500 [4 per cell]
Pt: 0.0000 0.4114 0.5907 [8 per cell]


No. 6
Compound: Dy5Ru2O12
Source: Alexandria
Functional: PBE
Structure: optimized geometry

For the electronic total energy, the calculation gives -152.8 eV per formula unit. The raw formation energy is -2724 meV per atom.

Cell: 12.3814 5.8306 7.3956 Å, 90.00 107.54 90.00°
Space group C2/m (No. 12)
Asymmetric unit:
Dy: 0.0000 0.0000 0.0000 [2 per cell]
Dy: 0.1895 0.5000 0.3276 [4 per cell]
Dy: 0.1972 0.5000 0.8602 [4 per cell]
Ru: 0.0000 0.2357 0.5000 [4 per cell]
O: 0.0002 0.0000 0.3053 [4 per cell]
O: 0.9995 0.5000 0.3158 [4 per cell]
O: 0.1536 0.2510 0.0745 [8 per cell]
O: 0.1649 0.2588 0.5836 [8 per cell]


No. 7
Compound: Ca3LaAg4
Source: Alexandria
Functional: PBE
Structure: optimized geometry

The energy of formation is -30.0 kJ per mole of atoms. For the electronic total energy, the calculation gives -24.8 eV per formula unit.

Cell: 5.2986 5.2986 25.8500 Å, 90.00 90.00 120.00°
Space group R-3m (No. 166, hexagonal axes)
Asymmetric unit:
Ca: 0.0000 0.0000 0.0000 [3 per cell]
Ca: 0.0000 0.0000 0.2516 [6 per cell]
La: 0.0000 0.0000 0.5000 [3 per cell]
Ag: 0.0000 0.0000 0.1251 [6 per cell]
Ag: 0.0000 0.0000 0.3755 [6 per cell]


No. 8
Compound: NdZn4Ag8
Source: Alexandria
Functional: PBE
Structure: optimized geometry

The energy of formation is -13.5 kJ per mole of atoms. For the electronic total energy, the calculation gives -34.5 eV per formula unit.

Cell: 9.4278 9.4278 5.3007 Å, 90.00 90.00 90.00°
Space group I4/mmm (No. 139)
Asymmetric unit:
Nd: 0.0000 0.0000 0.0000 [2 per cell]
Zn: 0.2500 0.2500 0.2500 [8 per cell]
Ag: 0.0000 0.2169 0.5000 [8 per cell]
Ag: 0.0000 0.3478 0.0000 [8 per cell]


No. 9
Compound: SrNbAu
Source: Alexandria
Functional: PBE
Structure: optimized geometry

The energy of formation is 4.0 kJ per mole of atoms. For the electronic total energy, the calculation gives -14.9 eV per formula unit. The calculation puts the excess energy over the best structure of this formula in the dataset at 0.1761 eV per atom.

Cell: 4.5703 8.6124 7.7686 Å, 90.00 90.00 90.00°
Space group Ima2 (No. 46)
Asymmetric unit:
Sr: 0.2500 0.1818 0.0000 [4 per cell]
Nb: 0.2500 0.5773 0.8420 [4 per cell]
Au: 0.2500 0.6181 0.1960 [4 per cell]


No. 10
Compound: Na3Pr2NpS6
Source: Alexandria
Functional: PBE
Structure: optimized geometry

For the electronic total energy, the calculation gives -70.7 eV per formula unit. The raw formation energy is -1624 meV per atom.

Cell: 7.1481 12.3809 7.1006 Å, 90.00 109.62 90.00°
Space group C2/m (No. 12)
Asymmetric unit:
Na: 0.0000 0.0000 0.0000 [2 per cell]
Na: 0.0000 0.3332 0.0000 [4 per cell]
Pr: 0.0000 0.1666 0.5000 [4 per cell]
Np: 0.0000 0.5000 0.5000 [2 per cell]
S: 0.2406 0.3371 0.7332 [8 per cell]
S: 0.2483 0.5000 0.2683 [4 per cell]


No. 11
Compound: ScGaAs
Source: Alexandria
Functional: PBE
Structure: optimized geometry

The energy of formation is -57.5 kJ per mole of atoms. For the electronic total energy, the calculation gives -15.8 eV per formula unit.

Cell: 4.3252 4.3252 25.1162 Å, 90.00 90.00 120.00°
Space group R-3m (No. 166, hexagonal axes)
Asymmetric unit:
Sc: 0.0000 0.0000 0.0779 [6 per cell]
Ga: 0.0000 0.0000 0.3218 [6 per cell]
As: 0.0000 0.0000 0.2190 [6 per cell]


No. 12
Compound: AlCu2Te
Source: Alexandria
Functional: PBE
Structure: optimized geometry

For the electronic total energy, the calculation gives -14.1 eV per formula unit. The raw formation energy is 233 meV per atom. The calculation puts the excess energy over the best structure of this formula in the dataset at 0.1814 eV per atom.

Cell: 3.8497 3.9682 4.5452 Å, 90.00 90.00 90.00°
Space group Pmmm (No. 47)
Asymmetric unit:
Al: 0.0000 0.0000 0.0000 [1 per cell]
Cu: 0.5000 0.0000 0.5000 [1 per cell]
Cu: 0.5000 0.5000 0.0000 [1 per cell]
Te: 0.0000 0.5000 0.5000 [1 per cell]


No. 13
Compound: CdInSn2
Source: Alexandria
Functional: PBE
Structure: optimized geometry

The energy of formation is 6.8 kJ per mole of atoms. For the electronic total energy, the calculation gives -11.4 eV per formula unit. The calculation puts the excess energy over the best structure of this formula in the dataset at 0.0271 eV per atom.

Cell: 3.7387 3.7387 7.6194 Å, 90.00 90.00 90.00°
Space group P4/mmm (No. 123)
Asymmetric unit:
Cd: 0.0000 0.0000 0.0000 [1 per cell]
In: 0.0000 0.0000 0.5000 [1 per cell]
Sn: 0.5000 0.5000 0.2350 [2 per cell]


No. 14
Compound: Cs3TlSn2Br9
Source: Alexandria
Functional: PBE
Structure: optimized geometry

For the electronic total energy, the calculation gives -46.0 eV per formula unit. The raw formation energy is -1203 meV per atom.

Cell: 8.3630 8.3630 10.2379 Å, 90.00 90.00 120.00°
Space group P-3m1 (No. 164)
Asymmetric unit:
Cs: 0.0000 0.0000 0.0000 [1 per cell]
Cs: 0.3333 0.6667 0.6648 [2 per cell]
Tl: 0.0000 0.0000 0.5000 [1 per cell]
Sn: 0.3333 0.6667 0.1626 [2 per cell]
Br: 0.0000 0.5000 0.0000 [3 per cell]
Br: 0.1759 0.3519 0.3214 [6 per cell]


No. 15
Compound: Nd4Y2Ga3O2
Source: Alexandria
Functional: PBE
Structure: optimized geometry

For the electronic total energy, the calculation gives -65.1 eV per formula unit. The raw formation energy is -1283 meV per atom.

Cell: 4.8143 4.8143 23.4704 Å, 90.00 90.00 90.00°
Space group I4/mmm (No. 139)
Asymmetric unit:
Nd: 0.0000 0.5000 0.0848 [8 per cell]
Y: 0.0000 0.0000 0.2032 [4 per cell]
Ga: 0.0000 0.0000 0.3284 [4 per cell]
Ga: 0.0000 0.0000 0.5000 [2 per cell]
O: 0.0000 0.0000 0.1070 [4 per cell]


No. 16
Compound: SrCeAs2Rh4
Source: Alexandria
Functional: PBE
Structure: optimized geometry

The energy of formation is -67.3 kJ per mole of atoms. For the electronic total energy, the calculation gives -51.9 eV per formula unit.

Cell: 4.1076 4.1076 9.9114 Å, 90.00 90.00 90.00°
Space group P4/mmm (No. 123)
Asymmetric unit:
Sr: 0.0000 0.0000 0.0000 [1 per cell]
Ce: 0.0000 0.0000 0.5000 [1 per cell]
As: 0.5000 0.5000 0.1715 [2 per cell]
Rh: 0.0000 0.5000 0.2985 [4 per cell]


No. 17
Compound: LiLuGaRu
Source: Alexandria
Functional: PBE
Structure: optimized geometry

The energy of formation is -35.9 kJ per mole of atoms. For the electronic total energy, the calculation gives -20.2 eV per formula unit.

Cell: 6.4283 6.4283 6.4283 Å, 90.00 90.00 90.00°
Space group F-43m (No. 216)
Asymmetric unit:
Li: 0.0000 0.0000 0.0000 [4 per cell]
Lu: 0.2500 0.2500 0.7500 [4 per cell]
Ga: 0.2500 0.2500 0.2500 [4 per cell]
Ru: 0.0000 0.0000 0.5000 [4 per cell]


No. 18
Compound: Li2Ac2PrGe2
Source: Alexandria
Functional: PBE
Structure: optimized geometry

The energy of formation is -44.7 kJ per mole of atoms. For the electronic total energy, the calculation gives -29.3 eV per formula unit.

Cell: 4.5664 4.5664 32.5597 Å, 90.00 90.00 120.00°
Space group R-3m (No. 166, hexagonal axes)
Asymmetric unit:
Li: 0.0000 0.0000 0.1168 [6 per cell]
Ac: 0.0000 0.0000 0.3816 [6 per cell]
Pr: 0.0000 0.0000 0.5000 [3 per cell]
Ge: 0.0000 0.0000 0.2232 [6 per cell]


No. 19
Compound: NaPaHg2I6
Source: Alexandria
Functional: PBE
Structure: optimized geometry

For the electronic total energy, the calculation gives -28.3 eV per formula unit. The raw formation energy is -760 meV per atom.

Cell: 8.6796 8.6474 14.8698 Å, 90.00 123.87 90.00°
Space group P2_1/c (No. 14)
Asymmetric unit:
Na: 0.0000 0.0000 0.0000 [2 per cell]
Pa: 0.5000 0.0000 0.5000 [2 per cell]
Hg: 0.2271 0.0461 0.7446 [4 per cell]
I: 0.1948 0.1941 0.4695 [4 per cell]
I: 0.2854 0.7203 0.4759 [4 per cell]
I: 0.3309 0.5020 0.7645 [4 per cell]


No. 20
Compound: LaHgSeBr2
Source: Alexandria
Functional: PBE
Structure: optimized geometry

For the electronic total energy, the calculation gives -17.5 eV per formula unit. The raw formation energy is -1084 meV per atom. The calculation puts the excess energy over the best structure of this formula in the dataset at 0.0000 eV per atom.

Cell: 5.8585 5.8585 5.9689 Å, 90.00 90.00 90.00°
Space group P4/mmm (No. 123)
Asymmetric unit:
La: 0.0000 0.0000 0.0000 [1 per cell]
Hg: 0.5000 0.5000 0.5000 [1 per cell]
Se: 0.0000 0.0000 0.5000 [1 per cell]
Br: 0.0000 0.5000 0.0000 [2 per cell]


| no. | spin magnetization (μB per formula unit) |
| --- | --- |
| 1 | 0.00 |
| 2 | 0.00 |
| 3 | 0.08 |
| 4 | 1.00 |
| 5 | 0.00 |
| 6 | 5.01 |
| 7 | 0.00 |
| 8 | 0.00 |
| 9 | 0.00 |
| 10 | 4.00 |
| 11 | 0.00 |
| 12 | 0.00 |
| 13 | 0.00 |
| 14 | 0.00 |
| 15 | 0.00 |
| 16 | 0.00 |
| 17 | 0.00 |
| 18 | 0.00 |
| 19 | 0.00 |
| 20 | 0.96 |